Below is MgMn2Co after structural relaxation, with properties calculated at the PBE level.

a b c (Å): 2.962 2.962 6.669
angles (deg): 90.00 90.00 90.00
Each line ends with the local moment (μB).
Sites, in units of the cell vectors:
Mn 0.000 0.000 0.043  3.37
Mn 0.000 0.000 0.457  3.37
Co 0.500 0.500 0.250  1.56
Mg 0.500 0.500 0.750  -0.04

Properties
Formation enthalpy at 0 K: 142.3 meV per atom
E above lowest polymorph: 11 meV/atom


Below is Ac2Tm3Sn2 after structural relaxation, with properties calculated at the PBE level.

a b c (Å): 4.566 6.786 8.853
angles (deg): 113.26 90.00 109.66
Sites, in units of the cell vectors:
Tm 0.381 0.761 0.558
Tm 0.619 0.239 0.442
Tm 0.500 0.000 0.000
Ac 0.145 0.290 0.801
Ac 0.855 0.710 0.199
Sn 0.155 0.309 0.227
Sn 0.845 0.691 0.773

Properties
Formation enthalpy at 0 K: -446.1 meV per atom


Below is AlCdCuF6 after structural relaxation, with properties calculated at the PBE level.

a b c (Å): 5.508 5.508 8.890
angles (deg): 90.00 90.00 120.00
Each line ends with the local moment (μB).
Sites, in units of the cell vectors:
Cd 0.667 0.333 0.750  0.00
Cd 0.333 0.667 0.250  0.00
F 0.389 0.330 0.366  0.00
F 0.611 0.941 0.866  0.00
F 0.330 0.941 0.634  0.00
F 0.059 0.670 0.866  0.00
F 0.941 0.330 0.134  0.00
F 0.941 0.611 0.366  0.00
F 0.670 0.059 0.366  0.00
F 0.611 0.670 0.634  0.00
F 0.389 0.059 0.134  0.00
F 0.670 0.611 0.134  0.00
F 0.330 0.389 0.866  0.00
F 0.059 0.389 0.634  0.00
Cu 0.000 0.000 0.000  0.12
Cu 0.000 0.000 0.500  0.12
Al 0.333 0.667 0.750  0.00
Al 0.667 0.333 0.250  0.00


Below is MnInSeBr2 after structural relaxation, with properties calculated at the PBE level.

a b c (Å): 5.425 5.425 5.055
angles (deg): 90.00 90.00 90.00
Each line ends with the local moment (μB).
Sites, in units of the cell vectors:
In 0.500 0.500 0.500  0.00
Se 0.000 0.000 0.500  0.20
Br 0.500 0.000 0.000  0.01
Br 0.000 0.500 0.000  0.01
Mn 0.000 0.000 0.000  -4.03

Properties
E above lowest polymorph: 0 meV/atom


Below is RbAc2Th after structural relaxation, with properties calculated at the PBE level.

a b c (Å): 3.878 3.878 14.373
angles (deg): 82.25 82.25 60.00
Sites, in units of the cell vectors:
Th 0.500 0.500 0.500
Rb 0.000 0.000 0.000
Ac 0.903 0.903 0.291
Ac 0.097 0.097 0.709

Properties
Formation enthalpy at 0 K: 233.7 meV per atom


Below is Sr3Ge3Pd2 after structural relaxation, with properties calculated at the PBE level.

a b c (Å): 4.535 6.090 15.383
angles (deg): 90.00 90.00 111.86
Sites, in units of the cell vectors:
Sr 0.079 0.158 0.890
Sr 0.366 0.733 0.750
Sr 0.921 0.842 0.390
Sr 0.634 0.267 0.250
Sr 0.921 0.842 0.110
Sr 0.079 0.158 0.610
Pd 0.211 0.423 0.402
Pd 0.789 0.577 0.598
Pd 0.211 0.423 0.098
Pd 0.789 0.577 0.902
Ge 0.640 0.280 0.037
Ge 0.360 0.720 0.537
Ge 0.330 0.659 0.250
Ge 0.640 0.280 0.463
Ge 0.360 0.720 0.963
Ge 0.670 0.341 0.750

Properties
Formation enthalpy at 0 K: -644.2 meV per atom


Below is Mg2Sc4In after structural relaxation, with properties calculated at the PBE level.

a b c (Å): 4.629 6.165 6.165
angles (deg): 103.35 90.00 90.00
Each line ends with the local moment (μB).
Sites, in units of the cell vectors:
Mg 0.000 0.723 0.277  0.00
Mg 0.000 0.277 0.723  0.00
Sc 0.500 0.000 0.500  0.22
Sc 0.000 0.208 0.208  0.23
Sc 0.500 0.500 0.000  0.22
Sc 0.000 0.792 0.792  0.23
In 0.500 0.500 0.500  -0.01

Properties
Formation enthalpy at 0 K: 13.0 meV per atom


Below is ScInMo2 after structural relaxation, with properties calculated at the PBE level.

a b c (Å): 5.387 5.387 5.387
angles (deg): 136.48 136.48 63.25
Sites, in units of the cell vectors:
In 0.750 0.250 0.500
Mo 0.000 0.000 0.000
Mo 0.500 0.500 0.000
Sc 0.250 0.750 0.500

Properties
Formation enthalpy at 0 K: 189.6 meV per atom


VASP energy for the records above, in order: -26.471, -32.760, -41.952, -20.669, -15.669, -34.437, -31.162, -29.974 eV per formula unit
Magnetic moment for the records above, in order: 2.10, 0.00, 0.01, 0.80, 0.00, 0.00, 0.21, 0.00 μB/atom
V for the records above, in order: 58.5, 234.5, 233.6, 148.8, 184.9, 394.3, 171.2, 73.2 Å³/cell